1.
A plane-wave DFT calculation with PBE was carried out for a relaxed Ce3TlIr crystal.

Computed properties:
ΔE_f = -251 meV per atom

extended XYZ file:
```
5
Lattice="-1.451 -1.460 -5.047 5.168 -1.342 -1.098 -0.948 -5.078 1.741" Properties=species:S:1:pos:R:3 pbc="T T T"
Ce -0.726 -0.730 -2.524
Tl 1.384 -3.940 -2.202
Ce -0.474 -2.539 0.871
Ir 0.000 0.000 0.000
Ce 2.584 -0.671 -0.549
```


2.
A plane-wave DFT calculation with PBE was carried out for a relaxed Ce8Tl2Ir crystal.

Computed properties:
ΔE_f = -204 meV per atom

extended XYZ file:
```
11
Lattice="5.243 0.000 0.000 0.000 6.832 0.071 -2.621 -2.785 8.000" Properties=species:S:1:pos:R:3 pbc="T T T"
Ce 2.621 4.107 5.033
Ce 0.000 -1.258 5.624
Ce 0.000 -0.060 3.038
Ce 2.621 1.993 7.995
Tl 2.621 0.681 4.882
Ce 2.621 2.194 1.630
Ce 2.621 5.305 2.447
Ir 2.621 0.000 0.000
Ce 0.000 1.854 6.441
Tl 0.000 3.366 3.189
Ce 0.000 2.054 0.075
```


3.
A plane-wave DFT calculation with PBE was carried out for a relaxed Ce3Tl2Ir crystal.

Computed properties:
ΔE_f = -312 meV per atom

extended XYZ file:
```
12
Lattice="-0.431 -7.633 -1.944 5.375 -4.148 -0.912 -0.283 -3.446 7.388" Properties=species:S:1:pos:R:3 pbc="T T T"
Tl -0.357 -5.540 2.722
Tl 0.938 -9.446 1.766
Ce 1.665 -6.456 0.273
Ce -0.526 -8.014 4.747
Ce -0.189 -3.066 0.697
Tl 0.000 0.000 0.000
Ce 2.994 -8.771 4.259
Ir 3.018 -7.838 -1.907
Ir 1.925 -3.944 -0.949
Tl 3.722 -5.781 2.766
Ce 1.707 -4.865 5.215
Ce 2.953 -10.362 -0.683
```